The following is a GGA-PBE calculation of Pr3Zn3Cu2 after structural relaxation, from the Alexandria database.

CIF file:
```
data_Pr3Zn3Cu2
_symmetry_space_group_name_H-M 'P 1'
_symmetry_Int_Tables_number 1
_cell_length_a 5.613
_cell_length_b 5.613
_cell_length_c 15.104
_cell_angle_alpha 90.00
_cell_angle_beta 90.00
_cell_angle_gamma 131.98
loop_
_symmetry_equiv_pos_as_xyz
'x,y,z'
loop_
_atom_site_label
_atom_site_type_symbol
_atom_site_fract_x
_atom_site_fract_y
_atom_site_fract_z
_atom_site_occupancy
Pr1 Pr 0.099 0.901 0.605 1
Pr2 Pr 0.099 0.901 0.895 1
Pr3 Pr 0.393 0.607 0.750 1
Pr4 Pr 0.607 0.393 0.250 1
Pr5 Pr 0.901 0.099 0.105 1
Pr6 Pr 0.901 0.099 0.395 1
Zn1 Zn 0.311 0.689 0.250 1
Zn2 Zn 0.383 0.617 0.539 1
Zn3 Zn 0.383 0.617 0.961 1
Zn4 Zn 0.617 0.383 0.039 1
Zn5 Zn 0.617 0.383 0.461 1
Zn6 Zn 0.689 0.311 0.750 1
Cu1 Cu 0.199 0.801 0.098 1
Cu2 Cu 0.199 0.801 0.402 1
Cu3 Cu 0.801 0.199 0.598 1
Cu4 Cu 0.801 0.199 0.902 1
```

Summary:
The energy of formation from the pure elements comes out at -267.5 meV/atom. Its density is 7.0 g/cm³.



The following is a GGA-PBE calculation of LiGa2GeH after structural relaxation, from the Alexandria database.

CIF file:
```
data_LiGa2GeH
_symmetry_space_group_name_H-M 'P 1'
_symmetry_Int_Tables_number 1
_cell_length_a 4.286
_cell_length_b 4.286
_cell_length_c 3.972
_cell_angle_alpha 90.00
_cell_angle_beta 90.00
_cell_angle_gamma 90.00
loop_
_symmetry_equiv_pos_as_xyz
'x,y,z'
loop_
_atom_site_label
_atom_site_type_symbol
_atom_site_fract_x
_atom_site_fract_y
_atom_site_fract_z
_atom_site_occupancy
Li1 Li 0.000 0.000 0.000 1
Ga1 Ga 0.000 0.500 0.500 1
Ga2 Ga 0.500 0.000 0.500 1
Ge1 Ge 0.500 0.500 0.000 1
H1 H 0.000 0.000 0.500 1
```

Summary:
Its density is 5.0 g/cm³.



no.,electronic total energy (eV per atom)
1,-3.56
2,-3.17